Entry 1:
Below is a geometry-optimized PaNiIr2 structure, with properties calculated at the GGA-PBE level.

Cell and atoms, written as POSCAR:
```
PaNiIr2
1.0
4.060 0.000 0.000
0.000 4.060 0.000
0.000 0.000 3.970
Ni Ir Pa
1 2 1
direct
0.000 0.000 0.500
0.500 0.000 0.000
0.000 0.500 0.000
0.500 0.500 0.500
```

**Formation energy from the elements**: -0.740 eV per atom
**Space group**: P4/mmm (123)

=====

Entry 2:
Below is a geometry-optimized PaNi2Ir structure, with properties calculated at the GGA-PBE level.

Cell and atoms, written as POSCAR:
```
PaNi2Ir
1.0
-2.104 1.394 3.027
-1.450 -3.606 0.652
3.013 -0.769 2.448
Ni Ir Pa
2 1 1
direct
0.000 0.500 0.000
0.500 0.000 0.000
0.000 0.000 0.500
0.500 0.500 0.500
```

**Formation energy from the elements**: -0.622 eV per atom
**Space group**: P4/mmm (123)